Tm5CdAu4 after structural relaxation, computed with PBE-GGA.

Cell and atoms, written as CIF:
```
data_Tm5CdAu4
_cell_length_a 3.5652
_cell_length_b 3.5652
_cell_length_c 18.0340
_cell_angle_alpha 90.00
_cell_angle_beta 90.00
_cell_angle_gamma 90.00
_space_group_name_H-M_alt 'P 4/m m m'
_space_group_IT_number 123
_space_group_name_Hall '-P 4 2'
loop_
_atom_site_label
_atom_site_type_symbol
_atom_site_fract_x
_atom_site_fract_y
_atom_site_fract_z
Tm1 Tm 0.0000 0.0000 0.0000
Tm2 Tm 0.0000 0.0000 0.1970
Tm3 Tm 0.0000 0.0000 0.3917
Cd1 Cd 0.5000 0.5000 0.5000
Au1 Au 0.5000 0.5000 0.0986
Au2 Au 0.5000 0.5000 0.2977
```

**Crystal system**: tetragonal
**Electronic total energy**: -4.415 eV per atom

Tm4CdAu7 after structural relaxation, computed with PBE-GGA.

Cell and atoms, written as CIF:
```
data_Tm4CdAu7
_cell_length_a 14.2687
_cell_length_b 5.1968
_cell_length_c 8.7161
_cell_angle_alpha 90.00
_cell_angle_beta 123.65
_cell_angle_gamma 90.00
_space_group_name_H-M_alt 'C 1 2/m 1'
_space_group_IT_number 12
loop_
_space_group_symop_operation_xyz
'x,y,z'
'-x,-y,-z'
'-x,y,-z'
'x,-y,z'
'x+1/2,y+1/2,z'
'-x+1/2,-y+1/2,-z'
'-x+1/2,y+1/2,-z'
'x+1/2,-y+1/2,z'
loop_
_atom_site_label
_atom_site_type_symbol
_atom_site_fract_x
_atom_site_fract_y
_atom_site_fract_z
Tm1 Tm 0.0640 0.0000 0.2407
Tm2 Tm 0.2400 0.0000 0.7566
Cd1 Cd 0.0000 0.5000 0.5000
Au1 Au 0.0000 0.0000 0.5000
Au2 Au 0.0534 0.5000 0.8798
Au3 Au 0.1866 0.0000 0.0509
Au4 Au 0.1952 0.5000 0.5006
```

**Crystal system**: monoclinic
**Electronic total energy**: -4.114 eV per atom

Values of mass density, in order: 12.641; 13.376, all in g/cm³.
Values of total moment, in order: 0.00; 0.00, all in μB per formula unit.